## Ba3Nd3Co6O17 (PBE with a Hubbard U)

Data for a geometry-optimized Ba3Nd3Co6O17 structure.

Cell lengths 16.332, 5.523, 9.505 Å; angles 90.00, 124.79, 90.00 degrees
Space group C2/m (No. 12)
Unique sites:
Ba  0.000  0.000  0.000
Ba  0.167  0.500  0.326
Nd  0.000  0.500  0.500
Nd  0.176  0.000  0.855
Co  0.083  0.500  0.913
Co  0.088  0.000  0.414
Co  0.244  0.500  0.747
O  0.000  0.500  0.000
O  0.009  0.248  0.735
O  0.149  0.244  0.594
O  0.173  0.500  0.852
O  0.174  0.250  0.077
O  0.178  0.000  0.347

Calculated values
**Final energy**: -378.542 eV/cell